## MgTc2Ge2 (PBE-GGA)

Data for a relaxed structure of MgTc2Ge2.

Cell and atoms, written as extended XYZ:
```
10
Lattice="3.6696 0.0000 0.0000 0.0000 3.6696 0.0000 0.0000 0.0000 12.4906" Properties=species:S:1:pos:R:3 pbc="T T T"
Mg 0.0000 0.0000 0.0000
Mg 1.8348 1.8348 6.2453
Tc 0.0000 0.0000 4.9393
Tc 0.0000 0.0000 7.5513
Tc 1.8348 1.8348 1.3060
Tc 1.8348 1.8348 11.1846
Ge 0.0000 1.8348 3.1226
Ge 0.0000 1.8348 9.3679
Ge 1.8348 0.0000 3.1226
Ge 1.8348 0.0000 9.3679
```

Results
* formation energy from the elements: 170 meV/atom
* energy above the lowest structure with this stoichiometry: 289 meV/atom